First-principles (PBE) data for an optimized crystal structure of Dy8ErTm6, as listed in Alexandria via LeMat-Bulk.

abc: 3.543 8.711 15.439
angles: 103.50 96.53 90.02
Element x y z (fractional)
Dy: 0.055 0.335 0.110
Dy: 0.145 0.666 0.289
Dy: 0.300 0.998 0.600
Dy: 0.345 0.667 0.689
Dy: 0.655 0.333 0.311
Dy: 0.700 0.002 0.400
Dy: 0.855 0.334 0.711
Dy: 0.945 0.665 0.890
Er: 0.500 0.000 0.000
Tm: 0.100 0.998 0.199
Tm: 0.255 0.335 0.512
Tm: 0.455 0.333 0.912
Tm: 0.545 0.667 0.088
Tm: 0.745 0.665 0.488
Tm: 0.900 0.002 0.801

Calculated values
* polymorph energy (0 for the lowest one): 0.00 eV/f.u.
* formation energy from the elements: 0.0017 eV/atom
* Fermi-level density of states: 20.4 states/eV/f.u.
* ρ: 8.953 g cm⁻³
* magnetic moment: 0.00 Bohr magnetons per cell
* SG: P-1

First-principles (PBE) data for an optimized crystal structure of LaBe2Pt, as listed in Alexandria via LeMat-Bulk.

abc: 4.680 4.680 4.680
angles: 119.83 119.83 90.29
Element x y z (fractional)
La: 0.000 0.000 0.000
Be: 0.500 0.500 0.000
Be: 0.750 0.250 0.500
Pt: 0.250 0.750 0.500

Calculated values
* formation energy from the elements: 0.0494 eV/atom
* Fermi-level density of states: 2.8 states/eV/f.u.
* ρ: 8.047 g cm⁻³
* magnetic moment: 0.00 Bohr magnetons per cell
* SG: I-4m2

First-principles (PBE) data for an optimized crystal structure of BaNbFe3, as listed in Alexandria via LeMat-Bulk.

abc: 4.862 4.862 4.862
angles: 90.00 90.00 90.00
Element x y z (fractional)
Ba: 0.000 0.000 0.000
Nb: 0.500 0.500 0.500
Fe: 0.000 0.500 0.500
Fe: 0.500 0.000 0.500
Fe: 0.500 0.500 0.000

Calculated values
* polymorph energy (0 for the lowest one): 0.00 eV/f.u.
* formation energy from the elements: 1.0142 eV/atom
* Fermi-level density of states: 6.7 states/eV/f.u.
* ρ: 5.747 g cm⁻³
* magnetic moment: 6.25 Bohr magnetons per cell
* SG: Pm-3m

First-principles (PBE) data for an optimized crystal structure of AlSn3Se, as listed in Alexandria via LeMat-Bulk.

abc: 5.284 5.284 5.284
angles: 90.00 90.00 90.00
Element x y z (fractional)
Al: 0.000 0.000 0.000
Sn: 0.000 0.000 0.500
Sn: 0.000 0.500 0.000
Sn: 0.500 0.000 0.000
Se: 0.500 0.500 0.500

Calculated values
* polymorph energy (0 for the lowest one): 0.00 eV/f.u.
* Fermi-level density of states: 2.3 states/eV/f.u.
* ρ: 5.201 g cm⁻³
* uncorrected formation energy: 0.38 eV per atom
* magnetic moment: 0.00 Bohr magnetons per cell
* SG: Pm-3m

First-principles (PBE) data for an optimized crystal structure of K2ZrCr, as listed in Alexandria via LeMat-Bulk.

abc: 3.270 3.270 12.952
angles: 90.00 90.00 116.50
Element x y z (fractional)
K: 0.000 0.000 0.239
K: 0.000 0.000 0.761
Zr: 0.500 0.500 0.500
Cr: 0.500 0.500 0.000

Calculated values
* polymorph energy (0 for the lowest one): 1.69 eV/f.u.
* formation energy from the elements: 1.1002 eV/atom
* Fermi-level density of states: 3.8 states/eV/f.u.
* ρ: 2.966 g cm⁻³
* magnetic moment: 4.97 Bohr magnetons per cell
* SG: Cmmm

First-principles (PBE) data for an optimized crystal structure of Rb2NaN8, as listed in Alexandria via LeMat-Bulk.

abc: 7.128 7.128 5.553
angles: 90.00 90.00 119.82
Element x y z (fractional)
Rb: 0.167 0.833 0.000
Rb: 0.833 0.167 0.000
Na: 0.500 0.500 0.000
N: 0.000 0.000 0.396
N: 0.000 0.000 0.604
N: 0.000 0.500 0.396
N: 0.000 0.500 0.604
N: 0.500 0.000 0.396
N: 0.500 0.000 0.604
N: 0.500 0.500 0.396
N: 0.500 0.500 0.604

Calculated values
* Fermi-level density of states: 8.8 states/eV/f.u.
* ρ: 2.076 g cm⁻³
* uncorrected formation energy: -0.02 eV per atom
* magnetic moment: 0.00 Bohr magnetons per cell
* SG: Cmmm

First-principles (PBE) data for an optimized crystal structure of FeTcW2, as listed in Alexandria via LeMat-Bulk.

abc: 4.803 4.803 4.666
angles: 100.85 100.85 33.38
Element x y z (fractional)
Fe: 0.000 0.000 0.000
Tc: 0.727 0.727 0.251
W: 0.263 0.263 0.783
W: 0.493 0.493 0.494

Calculated values
* polymorph energy (0 for the lowest one): 0.47 eV/f.u.
* formation energy from the elements: 0.2199 eV/atom
* Fermi-level density of states: 3.7 states/eV/f.u.
* ρ: 14.917 g cm⁻³
* magnetic moment: 0.00 Bohr magnetons per cell
* SG: Cm

First-principles (PBE) data for an optimized crystal structure of PmHf2Co9, as listed in Alexandria via LeMat-Bulk.

abc: 8.402 8.402 8.402
angles: 33.96 33.96 33.96
Element x y z (fractional)
Pm: 0.000 0.000 0.000
Hf: 0.141 0.141 0.141
Hf: 0.859 0.859 0.859
Co: 0.078 0.589 0.589
Co: 0.336 0.336 0.336
Co: 0.411 0.411 0.922
Co: 0.411 0.922 0.411
Co: 0.500 0.500 0.500
Co: 0.589 0.078 0.589
Co: 0.589 0.589 0.078
Co: 0.664 0.664 0.664
Co: 0.922 0.411 0.411

Calculated values
* formation energy from the elements: -0.2385 eV/atom
* Fermi-level density of states: 15.6 states/eV/f.u.
* ρ: 10.391 g cm⁻³
* magnetic moment: 9.56 Bohr magnetons per cell
* SG: R-3m

Please write out number 6 again, unchanged.
First-principles (PBE) data for an optimized crystal structure of Rb2NaN8, as listed in Alexandria via LeMat-Bulk.

abc: 7.128 7.128 5.553
angles: 90.00 90.00 119.82
Element x y z (fractional)
Rb: 0.167 0.833 0.000
Rb: 0.833 0.167 0.000
Na: 0.500 0.500 0.000
N: 0.000 0.000 0.396
N: 0.000 0.000 0.604
N: 0.000 0.500 0.396
N: 0.000 0.500 0.604
N: 0.500 0.000 0.396
N: 0.500 0.000 0.604
N: 0.500 0.500 0.396
N: 0.500 0.500 0.604

Calculated values
* Fermi-level density of states: 8.8 states/eV/f.u.
* ρ: 2.076 g cm⁻³
* uncorrected formation energy: -0.02 eV per atom
* magnetic moment: 0.00 Bohr magnetons per cell
* SG: Cmmm